# 1
First-principles (PBE) data for a relaxed structure of RbNaSr2Sb, as listed in Alexandria.

Output
- magnetic moment (μB/f.u.) = 0.7
- raw formation energy (meV/atom) = 688

a b c (Å): 6.644 6.644 5.514
angles (deg): 90.00 90.00 90.00
Sites, in units of the cell vectors:
Rb (0.000, 0.000, 0.000)
Na (0.000, 0.000, 0.500)
Sr (0.000, 0.500, 0.000)
Sr (0.500, 0.000, 0.000)
Sb (0.500, 0.500, 0.500)

=====

# 2
First-principles (PBE) data for a relaxed structure of Sr2GaGe2, as listed in Alexandria.

Output
- magnetic moment (μB/f.u.) = 0.0
- DFT formation energy (meV per atom) = -472

a b c (Å): 8.779 8.779 7.864
angles (deg): 90.00 90.00 151.55
Sites, in units of the cell vectors:
Sr (0.039, 0.961, 0.500)
Sr (0.214, 0.786, 0.824)
Sr (0.786, 0.214, 0.324)
Sr (0.961, 0.039, 0.000)
Ga (0.415, 0.585, 0.649)
Ga (0.585, 0.415, 0.149)
Ge (0.163, 0.837, 0.209)
Ge (0.435, 0.565, 0.301)
Ge (0.565, 0.435, 0.801)
Ge (0.837, 0.163, 0.709)

=====

# 3
First-principles (PBE) data for a relaxed structure of ZrTl2Fe, as listed in Alexandria.

Output
- energy above the lowest structure with this stoichiometry (eV per atom) = 0.139
- magnetic moment (μB/f.u.) = 1.6
- DFT formation energy (meV per atom) = 333

a b c (Å): 5.530 5.530 5.164
angles (deg): 113.69 113.69 36.00
Sites, in units of the cell vectors:
Zr (0.000, 0.000, 0.000)
Tl (0.227, 0.227, 0.726)
Tl (0.773, 0.773, 0.274)
Fe (0.500, 0.500, 0.500)

=====

# 4
First-principles (PBE) data for a relaxed structure of ZnCrTe2, as listed in Alexandria.

Output
- magnetic moment (μB/f.u.) = 4.3
- raw formation energy (meV/atom) = 187

a b c (Å): 5.157 5.157 4.356
angles (deg): 107.12 107.12 102.12
Sites, in units of the cell vectors:
Zn (0.000, 0.000, 0.000)
Cr (0.500, 0.500, 0.000)
Te (0.000, 0.500, 0.500)
Te (0.500, 0.000, 0.500)

=====

# 5
First-principles (PBE) data for a relaxed structure of CrFeCu, as listed in Alexandria.

Output
- energy above the lowest structure with this stoichiometry (eV per atom) = 0.026
- magnetic moment (μB/f.u.) = 2.3
- DFT formation energy (meV per atom) = 226

a b c (Å): 6.191 6.191 6.191
angles (deg): 157.42 157.42 32.15
Sites, in units of the cell vectors:
Cr (0.000, 0.000, 0.000)
Fe (0.333, 0.333, 0.000)
Cu (0.668, 0.668, 0.000)

=====

# 6
First-principles (PBE) data for a relaxed structure of NiSb6Au, as listed in Alexandria.

Output
- magnetic moment (μB/f.u.) = 0.0
- raw formation energy (meV/atom) = -67

a b c (Å): 8.243 8.243 9.578
angles (deg): 125.03 125.03 70.46
Sites, in units of the cell vectors:
Ni (0.000, 0.500, 0.000)
Ni (0.500, 0.000, 0.000)
Sb (0.001, 0.688, 0.858)
Sb (0.142, 0.829, 0.330)
Sb (0.171, 0.858, 0.670)
Sb (0.312, 0.999, 0.142)
Sb (0.339, 0.339, 0.008)
Sb (0.352, 0.352, 0.709)
Sb (0.648, 0.648, 0.291)
Sb (0.661, 0.661, 0.992)
Sb (0.688, 0.001, 0.858)
Sb (0.829, 0.142, 0.330)
Sb (0.858, 0.171, 0.670)
Sb (0.999, 0.312, 0.142)
Au (0.000, 0.500, 0.500)
Au (0.500, 0.000, 0.500)

=====

# 7
First-principles (PBE) data for a relaxed structure of Pr2PuAu8, as listed in Alexandria.

Output
- magnetic moment (μB/f.u.) = 5.8
- DFT formation energy (meV per atom) = -570

a b c (Å): 8.682 8.682 5.261
angles (deg): 107.05 107.05 125.16
Sites, in units of the cell vectors:
Pr (0.185, 0.815, 0.000)
Pr (0.815, 0.185, 0.000)
Pu (0.500, 0.500, 0.500)
Au (0.009, 0.009, 0.759)
Au (0.145, 0.404, 0.760)
Au (0.300, 0.700, 0.500)
Au (0.404, 0.145, 0.760)
Au (0.596, 0.855, 0.240)
Au (0.700, 0.300, 0.500)
Au (0.855, 0.596, 0.240)
Au (0.991, 0.991, 0.241)

=====

# 8
First-principles (PBE) data for a relaxed structure of TmUOs, as listed in Alexandria.

Output
- magnetic moment (μB/f.u.) = 0.8
- DFT formation energy (meV per atom) = -25

a b c (Å): 5.869 5.869 5.869
angles (deg): 145.44 145.44 49.68
Sites, in units of the cell vectors:
Tm (0.000, 0.000, 0.000)
U (0.299, 0.299, 0.000)
Os (0.687, 0.687, 0.000)